Arrangement i

Sm3Dy8Y2: optimized geometry, PBE.

Results
* Fermi-level density of states: 1.395 states/eV per atom

extended XYZ file:
```
13
Lattice="5.9518 0.7417 1.4539 -0.6971 7.0506 3.6552 -1.1723 -0.4649 9.3551" Properties=species:S:1:pos:R:3 pbc="T T T"
Sm 0.0000 0.0000 0.0000
Sm 2.5095 0.8186 2.3917
Sm 1.5729 6.5088 12.0725
Dy 0.9054 3.9320 3.0215
Dy 3.1769 3.3953 11.4427
Dy -0.0202 4.8120 6.3547
Dy 4.1026 2.5154 8.1095
Dy -0.9443 5.6959 9.6712
Dy 0.6571 2.5953 9.0472
Dy 3.4253 4.7320 5.4170
Dy 5.0267 1.6315 4.7929
Y 2.4992 5.6193 8.7417
Y 1.5832 1.7081 5.7225
```



Arrangement ii

Sm3Dy8Y2: optimized geometry, PBE.

Results
* Fermi-level density of states: 1.744 states/eV per atom

extended XYZ file:
```
13
Lattice="-1.1830 -3.8394 -3.9546 7.0152 -3.0143 0.8280 -7.0347 -4.7276 6.6982" Properties=species:S:1:pos:R:3 pbc="T T T"
Sm -0.5915 -1.9197 -1.9773
Sm 2.0316 -0.8736 0.2404
Sm -2.0511 -6.8683 7.2858
Dy 2.3195 -3.6124 2.8121
Dy -3.5220 -7.9689 0.7594
Dy -2.1249 -5.5038 -2.0536
Dy 0.9223 -6.0775 5.6251
Dy -1.8841 -7.4397 3.7718
Dy -4.8272 -6.1737 3.4230
Dy 3.6247 -5.4076 0.1486
Dy 0.6816 -4.1416 -0.2002
Y -2.2939 -4.9280 1.4583
Y 1.0914 -6.6533 2.1132
```



In order of decreasing stability: arrangement i, arrangement ii.



Arrangement i

Sm3Dy4Y2: optimized geometry, PBE.

Results
* Fermi-level density of states: 1.482 states/eV per atom

extended XYZ file:
```
18
Lattice="0.6506 -0.6691 6.0355 3.1877 -10.1723 3.7536 10.5204 -1.1621 3.9621" Properties=species:S:1:pos:R:3 pbc="T T T"
Sm 3.4923 -1.5046 5.8380
Sm 12.6331 -9.0623 10.9718
Sm 10.8664 -10.4989 7.9131
Sm 1.7256 -2.9412 2.7793
Sm 6.2698 -6.7522 5.3455
Sm 8.0888 -5.2514 8.4057
Dy 5.1158 -9.7500 6.6879
Dy 3.6006 -8.4523 3.8944
Dy 9.2429 -2.2535 7.0633
Dy 10.7580 -3.5512 9.8567
Dy 4.9948 -2.0205 2.7312
Dy 11.1015 -7.1136 8.0608
Dy 9.3639 -9.9831 11.0199
Dy 3.2571 -4.8899 5.6903
Y 6.4843 -3.3599 5.5193
Y 9.5506 -5.8496 5.2710
Y 7.8744 -8.6436 8.2318
Y 4.8080 -6.1539 8.4802
```



Arrangement ii

Sm3Dy4Y2: optimized geometry, PBE.

Results
* Fermi-level density of states: 1.580 states/eV per atom

extended XYZ file:
```
9
Lattice="4.9313 0.0000 1.1698 2.2309 5.3802 1.5745 -0.1604 1.1602 11.6545" Properties=species:S:1:pos:R:3 pbc="T T T"
Sm 0.0000 0.0000 0.0000
Sm 4.1436 3.7514 4.4902
Sm 2.8582 2.7889 9.9086
Dy 4.1956 0.3958 4.2709
Dy 2.8062 6.1446 10.1279
Dy 4.8824 4.5993 12.3544
Dy 2.1194 1.9411 2.0443
Y 5.7041 4.6981 8.8905
Y 1.2977 1.8422 5.5083
```



In order of decreasing stability: arrangement i, arrangement ii.



Arrangement i

Sm3Dy5Y4: optimized geometry, PBE.

Results
* Fermi-level density of states: 1.650 states/eV per atom

extended XYZ file:
```
12
Lattice="-0.7205 5.8678 0.3604 -6.8412 2.4256 -4.5000 -2.0140 2.1771 9.1967" Properties=species:S:1:pos:R:3 pbc="T T T"
Sm -5.6050 5.3167 -0.4309
Sm -4.4276 2.3013 2.3484
Sm -3.9708 5.1538 5.4880
Dy -8.5669 7.7114 3.3279
Dy -4.7879 5.2353 2.5285
Dy -3.5181 2.6152 -0.9438
Dy -6.0576 7.8553 6.0009
Dy -1.0088 2.7592 1.7292
Y -2.2611 5.7092 -0.1361
Y -1.6641 2.4417 5.5888
Y -7.9117 8.0289 -0.5317
Y -7.3147 4.7614 5.1931
```



Arrangement ii

Sm3Dy5Y4: optimized geometry, PBE.

Results
* Fermi-level density of states: 1.325 states/eV per atom

extended XYZ file:
```
12
Lattice="-6.5462 0.4496 -2.8284 4.5836 -8.3071 6.1270 -6.6201 11.0069 -0.9426" Properties=species:S:1:pos:R:3 pbc="T T T"
Sm -5.2538 2.5496 -0.9455
Sm -3.3100 5.5035 -0.4713
Sm -3.3289 0.5999 3.3015
Dy -4.6465 3.7910 2.3594
Dy -6.5831 5.7283 -1.8855
Dy -9.2361 7.1938 -0.0033
Dy 0.6534 -4.0443 2.3593
Dy -3.9362 -0.6415 -0.0034
Y -6.5958 0.8282 1.8885
Y -7.9102 4.0147 0.9365
Y -0.6725 -0.8652 1.4195
Y -1.9869 2.3212 0.4675
```



In order of decreasing stability: arrangement ii, arrangement i.



Arrangement i

Sm5Dy2Y: optimized geometry, PBE.

Results
* Fermi-level density of states: 1.619 states/eV per atom

extended XYZ file:
```
16
Lattice="-2.5828 4.7150 1.4966 0.3020 -4.6223 4.6794 14.1725 6.1313 5.1418" Properties=species:S:1:pos:R:3 pbc="T T T"
Sm 10.7328 6.0000 10.0235
Sm 6.2632 4.0664 8.4019
Sm 5.6134 1.0286 6.4468
Sm -0.0353 -1.4151 4.3974
Sm 2.1704 3.7041 2.4801
Sm 9.7213 2.5199 8.8377
Sm 6.2783 5.1954 4.8711
Sm 11.9270 7.6391 6.9204
Sm 1.1589 0.2240 1.2943
Sm 5.6285 2.1576 2.9159
Dy 3.3931 3.3721 5.6360
Dy 0.0202 1.9129 4.4123
Dy 8.4986 2.8519 5.6819
Dy 11.8715 4.3111 6.9056
Y 8.8710 5.8870 7.1664
Y 3.0207 0.3370 4.1514
```



Arrangement ii

Sm5Dy2Y: optimized geometry, PBE.

Results
* Fermi-level density of states: 1.785 states/eV per atom

extended XYZ file:
```
16
Lattice="-5.5781 2.0358 -3.3895 3.8320 -8.8183 10.0561 -3.6379 7.3142 4.4853" Properties=species:S:1:pos:R:3 pbc="T T T"
Sm 2.6000 -7.8026 9.2359
Sm 0.4488 -4.9572 9.5831
Sm -2.0227 -2.9484 7.9618
Sm 0.4087 -4.5884 5.9328
Sm -1.2090 0.6468 2.8508
Sm -4.1751 -0.1152 8.3011
Sm -3.3614 3.4800 3.1902
Sm -5.7928 5.1201 5.2192
Sm -7.9840 8.3343 1.9161
Sm -5.8329 5.4889 1.5689
Dy -4.2289 0.2755 4.6696
Dy -2.0846 -2.5609 4.3467
Dy -1.1551 0.2561 6.4824
Dy -3.2994 3.0926 6.8053
Y -1.0708 -0.1217 10.0931
Y -4.3133 0.6534 1.0588
```



In order of decreasing stability: arrangement ii, arrangement i.



Arrangement i

Sm3DyY5: optimized geometry, PBE.

Results
* Fermi-level density of states: 1.546 states/eV per atom

extended XYZ file:
```
18
Lattice="3.1761 9.1482 0.2423 -3.1761 9.1482 0.2423 0.0000 3.8922 10.8005" Properties=species:S:1:pos:R:3 pbc="T T T"
Sm 0.0000 0.0000 0.0000
Sm -1.9955 7.4773 4.2114
Sm 0.0000 1.9461 5.4003
Sm 1.9955 14.7112 7.0738
Sm 1.9955 9.4234 9.6117
Sm -1.9955 12.7651 1.6735
Dy -2.4602 12.0673 8.3427
Dy 2.4602 10.1212 2.9425
Y 0.5838 12.0673 8.3427
Y 1.2276 15.8870 10.9565
Y 1.3851 6.8699 2.4527
Y -1.2276 6.3015 0.3286
Y 1.3851 13.3726 3.4322
Y -0.5838 10.1212 2.9425
Y -1.2276 13.9409 5.5563
Y 1.2276 8.2476 5.7289
Y -1.3851 8.8159 7.8529
Y -1.3851 15.3186 8.8325
```



Arrangement ii

Sm3DyY5: optimized geometry, PBE.

Results
* Fermi-level density of states: 1.492 states/eV per atom

extended XYZ file:
```
18
Lattice="-2.1003 6.2213 -2.6667 2.4226 -3.0383 -8.9963 -9.0405 -1.5792 3.4362" Properties=species:S:1:pos:R:3 pbc="T T T"
Sm -0.7053 3.5749 -5.2306
Sm -5.8167 1.7066 -5.5635
Sm -4.8217 4.0989 -0.7661
Sm 1.0276 -0.3919 -6.4324
Sm -2.9016 -0.1028 -2.6633
Sm -6.3192 0.5432 1.5356
Dy 0.0000 0.0000 0.0000
Dy -1.0502 3.1107 -1.3334
Y -5.2195 -2.0656 -0.7079
Y -2.4486 0.5587 -6.1855
Y -1.3985 -2.5519 -4.8521
Y -6.2697 1.0451 -2.0413
Y 0.1037 2.5603 -8.2349
Y -3.6067 3.2486 -3.7067
Y -7.8407 3.5715 0.3814
Y 0.2185 0.6227 -3.4281
Y -5.1116 -1.6448 -4.5200
Y -3.3001 1.0706 0.3881
```



In order of decreasing stability: arrangement ii, arrangement i.



Arrangement i

Sm4Dy4Y3: optimized geometry, PBE.

Results
* Fermi-level density of states: 1.807 states/eV per atom

extended XYZ file:
```
11
Lattice="-2.0950 2.4226 1.5271 -2.5748 0.8959 -4.9521 -14.2162 -11.0542 2.1679" Properties=species:S:1:pos:R:3 pbc="T T T"
Sm -13.1175 -7.5440 2.2291
Sm -7.8698 -4.2622 0.0958
Sm -11.0163 -3.4732 -1.3530
Sm -5.7688 -0.1918 -3.4863
Dy -15.4692 -8.2336 0.1006
Dy -3.4168 0.4982 -1.3579
Dy -7.9076 -2.4818 -2.7889
Dy -10.9785 -5.2537 1.5317
Y -12.2705 -7.1435 -1.3650
Y -6.6156 -0.5921 0.1078
Y -0.0001 0.0000 -0.0001
```



Arrangement ii

Sm4Dy4Y3: optimized geometry, PBE.

Results
* Fermi-level density of states: 1.262 states/eV per atom

extended XYZ file:
```
11
Lattice="-0.2584 -2.1325 -2.8640 3.6497 2.6529 -2.3035 11.8990 -12.2581 10.2978" Properties=species:S:1:pos:R:3 pbc="T T T"
Sm 2.9435 -0.8433 -1.8750
Sm 12.3471 -10.8945 7.0053
Sm 10.3345 -7.3626 2.3163
Sm 4.9558 -4.3748 2.8140
Dy 2.4791 -2.1909 1.4088
Dy 7.4076 -6.5369 4.2023
Dy 7.8824 -5.2002 0.9280
Dy 12.8115 -9.5469 3.7215
Y 5.4027 -3.0138 -0.4784
Y 9.8878 -8.7239 5.6087
Y 0.0001 -0.0001 0.0000
```



In order of decreasing stability: arrangement ii, arrangement i.



Arrangement i

Sm6Dy2Y3: optimized geometry, PBE.

Results
* Fermi-level density of states: 1.247 states/eV per atom

extended XYZ file:
```
11
Lattice="-2.1513 -0.4405 -2.8512 0.5298 -2.7631 -2.2441 -20.3058 -19.2509 16.0240" Properties=species:S:1:pos:R:3 pbc="T T T"
Sm -7.0195 -8.1694 -0.2551
Sm -14.9078 -14.2850 11.1839
Sm -12.4166 -13.1345 4.5842
Sm -9.5107 -9.3199 6.3447
Sm -2.8807 -3.7913 -1.7832
Sm -19.0467 -18.6631 12.7120
Dy -8.2632 -8.7429 3.0430
Dy -13.6641 -13.7115 7.8858
Y 0.0000 0.0000 0.0000
Y -17.7903 -18.0780 9.4024
Y -4.1370 -4.3764 1.5264
```



Arrangement ii

Sm6Dy2Y3: optimized geometry, PBE.

Results
* Fermi-level density of states: 1.367 states/eV per atom

extended XYZ file:
```
11
Lattice="-0.3658 -2.8905 3.7902 4.6370 0.6646 0.9544 -5.9940 14.2174 7.2493" Properties=species:S:1:pos:R:3 pbc="T T T"
Sm 1.3952 3.4681 2.7796
Sm -1.1062 1.6905 4.1975
Sm -3.1181 8.5234 9.2143
Sm -0.6166 10.3009 7.7964
Sm 0.6321 3.9931 6.1213
Sm -2.3550 7.9983 5.8725
Dy -3.5081 11.9147 8.7480
Dy 1.7853 0.0768 3.2458
Y 0.0000 0.0000 0.0000
Y -0.1692 6.7148 8.1196
Y -1.5536 5.2766 3.8742
```



In order of decreasing stability: arrangement i, arrangement ii.



Arrangement i

Sm4Dy4Y: optimized geometry, PBE.

Results
* Fermi-level density of states: 1.719 states/eV per atom

extended XYZ file:
```
9
Lattice="5.4553 -0.0001 1.2893 1.9990 7.8365 3.7267 0.8938 3.0279 8.4031" Properties=species:S:1:pos:R:3 pbc="T T T"
Sm 2.0908 2.0537 3.3377
Sm 6.2573 8.8106 10.0815
Sm 6.1975 5.2971 10.3337
Sm 2.1506 5.5673 3.0854
Dy 4.5664 4.2917 5.0492
Dy 6.9261 7.1563 7.2498
Dy 3.7817 6.5726 8.3699
Dy 1.4220 3.7080 6.1693
Y 2.7277 0.0000 0.6447
```



Arrangement ii

Sm4Dy4Y: optimized geometry, PBE.

Results
* Fermi-level density of states: 1.502 states/eV per atom

extended XYZ file:
```
9
Lattice="-2.9932 3.6344 -1.8596 -3.4347 -2.7372 -6.7112 -7.3204 -0.8892 3.1545" Properties=species:S:1:pos:R:3 pbc="T T T"
Sm -5.5722 1.2224 -2.4224
Sm -8.1761 -1.2145 -2.9940
Sm -4.7248 -2.1225 -3.4335
Sm -9.0235 2.1305 -1.9829
Dy -11.6055 -0.2909 -2.5592
Dy -2.1427 0.2989 -2.8572
Dy -6.8755 1.8302 0.8630
Dy -6.8728 -1.8222 -6.2794
Y 0.0000 0.0000 0.0000
```



In order of decreasing stability: arrangement ii, arrangement i.